# 1
A relaxed Li2HgHPb crystal. Source: Alexandria via LeMat-Bulk, functional GGA-PBE.

Calculated values
M_tot	0.000	μB/atom
VASP energy	-0.1724	Ry/atom
energy above the most stable polymorph in this dataset	0.12	eV per formula unit

a = 4.4141 Å, b = 4.4141 Å, c = 4.6077 Å
α = 90.00°, β = 90.00°, γ = 90.00°
Closest atoms and distances in Å follow each position.
Fractional coordinates of all 5 atoms:
Li  0.0000  0.5000  0.0000  2 H 2.21
Li  0.5000  0.0000  0.0000  2 H 2.21
H  0.0000  0.0000  0.0000  4 Li 2.21, 2 Pb 2.30
Pb  0.0000  0.0000  0.5000  2 H 2.30
Hg  0.5000  0.5000  0.5000  4 Pb 3.12, 8 Li 3.19

***

# 2
A relaxed LiHg2HPb crystal. Source: Alexandria via LeMat-Bulk, functional GGA-PBE.

Calculated values
M_tot	0.000	μB/atom
VASP energy	-0.1396	Ry/atom

a = 5.5421 Å, b = 5.5421 Å, c = 3.4545 Å
α = 90.00°, β = 90.00°, γ = 90.00°
Closest atoms and distances in Å follow each position.
Fractional coordinates of all 5 atoms:
Hg  0.5000  0.0000  0.0000  2 H 2.77
Hg  0.0000  0.5000  0.0000  2 H 2.77
H  0.0000  0.0000  0.0000  2 Li 1.73
Li  0.0000  0.0000  0.5000  2 H 1.73
Pb  0.5000  0.5000  0.5000  8 Hg 3.27, 2 Pb 3.45

***

# 3
A relaxed Li2HgHPb crystal. Source: Alexandria via LeMat-Bulk, functional GGA-PBE.

Calculated values
M_tot	0.000	μB/atom
VASP energy	-0.1741	Ry/atom
energy above the most stable polymorph in this dataset	0.00	eV per formula unit

a = 4.6659 Å, b = 4.6659 Å, c = 3.9169 Å
α = 90.00°, β = 90.00°, γ = 90.00°
Closest atoms and distances in Å follow each position.
Fractional coordinates of all 5 atoms:
Pb  0.5000  0.5000  0.5000  8 Li 3.05, 4 Hg 3.30
H  0.0000  0.0000  0.0000  2 Hg 1.96
Li  0.0000  0.5000  0.0000  2 H 2.33
Li  0.5000  0.0000  0.0000  2 H 2.33
Hg  0.0000  0.0000  0.5000  2 H 1.96

***

# 4
A relaxed LiHgHPd2 crystal. Source: Alexandria via LeMat-Bulk, functional GGA-PBE.

Calculated values
M_tot	0.000	μB/atom
VASP energy	-0.2626	Ry/atom
energy above the most stable polymorph in this dataset	0.00	eV per formula unit

a = 4.0125 Å, b = 4.0125 Å, c = 4.1373 Å
α = 90.00°, β = 90.00°, γ = 90.00°
Closest atoms and distances in Å follow each position.
Fractional coordinates of all 5 atoms:
Pd  0.0000  0.5000  0.0000  2 H 2.01
Pd  0.5000  0.0000  0.0000  2 H 2.01
Li  0.0000  0.0000  0.5000  2 H 2.07
H  0.0000  0.0000  0.0000  4 Pd 2.01, 2 Li 2.07
Hg  0.5000  0.5000  0.5000  4 Li 2.84, 8 Pd 2.88

***

# 5
A relaxed LiHg2HPd crystal. Source: Alexandria via LeMat-Bulk, functional GGA-PBE.

Calculated values
M_tot	0.000	μB/atom
VASP energy	-0.1664	Ry/atom

a = 4.5817 Å, b = 4.5817 Å, c = 3.5641 Å
α = 90.00°, β = 90.00°, γ = 90.00°
Closest atoms and distances in Å follow each position.
Fractional coordinates of all 5 atoms:
Pd  0.5000  0.5000  0.5000  8 Hg 2.90, 4 Li 3.24
Hg  0.5000  0.0000  0.0000  2 H 2.29
Hg  0.0000  0.5000  0.0000  2 H 2.29
Li  0.0000  0.0000  0.5000  2 H 1.78
H  0.0000  0.0000  0.0000  2 Li 1.78

***

# 6
A relaxed Li2HgHPd crystal. Source: Alexandria via LeMat-Bulk, functional GGA-PBE.

Calculated values
M_tot	0.000	μB/atom
VASP energy	-0.2028	Ry/atom
energy above the most stable polymorph in this dataset	0.91	eV per formula unit

a = 3.9786 Å, b = 3.9786 Å, c = 4.2758 Å
α = 90.00°, β = 90.00°, γ = 90.00°
Closest atoms and distances in Å follow each position.
Fractional coordinates of all 5 atoms:
Li  0.0000  0.5000  0.0000  2 H 1.99
Li  0.5000  0.0000  0.0000  2 H 1.99
Pd  0.5000  0.5000  0.5000  4 Hg 2.81, 8 Li 2.92
Hg  0.0000  0.0000  0.5000  2 H 2.14
H  0.0000  0.0000  0.0000  4 Li 1.99, 2 Hg 2.14

***

# 7
A relaxed Li6Hg2HPd crystal. Source: Alexandria via LeMat-Bulk, functional GGA-PBE.

Calculated values
M_tot	0.000	μB/atom
VASP energy	-0.1731	Ry/atom

a = 5.8020 Å, b = 6.5733 Å, c = 7.3153 Å
α = 48.42°, β = 53.86°, γ = 81.63°
Closest atoms and distances in Å follow each position.
Fractional coordinates of all 10 atoms:
Li  0.8005  0.2497  0.8522  1 H 1.94
Li  0.6912  0.8714  0.4147  1 H 1.94
Li  0.3088  0.1286  0.5853  1 H 1.94
Li  0.1995  0.7503  0.1478  1 H 1.94
Li  0.2632  0.3179  0.8792  1 H 2.09
Li  0.7368  0.6821  0.1208  1 H 2.09
Pd  0.5000  0.5000  0.0000  6 Li 2.49-2.72
Hg  0.1741  0.8130  0.4930  6 Li 2.74-2.92, 1 Pd 2.90, 1 Hg 2.96
Hg  0.8260  0.1870  0.5070  6 Li 2.74-2.92, 1 Pd 2.90, 1 Hg 2.96
H  0.0000  0.0000  0.0000  6 Li 1.94-2.09

***

# 8
A relaxed Li2Hg2HPd4 crystal. Source: Alexandria via LeMat-Bulk, functional GGA-PBE.

Calculated values
M_tot	0.000	μB/atom
VASP energy	-0.2605	Ry/atom

a = 5.6688 Å, b = 5.6688 Å, c = 5.6688 Å
α = 91.72°, β = 119.01°, γ = 119.01°
Closest atoms and distances in Å follow each position.
Fractional coordinates of all 9 atoms:
Hg  0.5000  0.7500  0.2500  8 Pd 2.83, 4 Li 2.88
Hg  0.5000  0.2500  0.7500  8 Pd 2.83, 4 Li 2.88
Li  0.0000  0.2642  0.2642  1 H 2.09
Li  0.0000  0.7358  0.7358  1 H 2.09
Pd  0.4930  0.2465  0.2465  1 H 2.01
Pd  0.5070  0.7535  0.7535  1 H 2.01
Pd  0.0000  0.7535  0.2465  1 H 2.01
Pd  0.0000  0.2465  0.7535  1 H 2.01
H  0.0000  0.0000  0.0000  4 Pd 2.01, 2 Li 2.09

***

# 9
A relaxed LiHgHPd2 crystal. Source: Alexandria via LeMat-Bulk, functional GGA-PBE.

Calculated values
M_tot	0.000	μB/atom
VASP energy	-0.2478	Ry/atom
energy above the most stable polymorph in this dataset	1.00	eV per formula unit

a = 3.9934 Å, b = 3.9934 Å, c = 4.2886 Å
α = 90.00°, β = 90.00°, γ = 90.00°
Closest atoms and distances in Å follow each position.
Fractional coordinates of all 5 atoms:
Pd  0.5000  0.0000  0.0000  2 H 2.00
Pd  0.0000  0.5000  0.0000  2 H 2.00
Li  0.5000  0.5000  0.5000  4 Hg 2.82, 8 Pd 2.93
H  0.0000  0.0000  0.0000  4 Pd 2.00, 2 Hg 2.14
Hg  0.0000  0.0000  0.5000  2 H 2.14

***

# 10
A relaxed LiHg2HPd crystal. Source: Alexandria via LeMat-Bulk, functional GGA-PBE.

Calculated values
M_tot	0.000	μB/atom
VASP energy	-0.1664	Ry/atom

a = 4.8432 Å, b = 4.8432 Å, c = 3.4453 Å
α = 90.00°, β = 90.00°, γ = 90.00°
Closest atoms and distances in Å follow each position.
Fractional coordinates of all 5 atoms:
Pd  0.0000  0.0000  0.5000  2 H 1.72
Hg  0.5000  0.0000  0.0000  2 H 2.42
Hg  0.0000  0.5000  0.0000  2 H 2.42
Li  0.5000  0.5000  0.5000  8 Hg 2.97
H  0.0000  0.0000  0.0000  2 Pd 1.72

***

# 11
A relaxed LiHgHPd crystal. Source: Alexandria via LeMat-Bulk, functional GGA-PBE.

Calculated values
M_tot	0.000	μB/atom
VASP energy	-0.2190	Ry/atom

a = 3.9617 Å, b = 3.9617 Å, c = 7.1045 Å
α = 90.00°, β = 90.00°, γ = 90.00°
Closest atoms and distances in Å follow each position.
Fractional coordinates of all 8 atoms:
Hg  0.0000  0.5000  0.8264  1 H 2.66, 5 Pd 2.76-2.82
Hg  0.5000  0.0000  0.1736  1 H 2.66, 5 Pd 2.76-2.82
Li  0.5000  0.5000  0.5000  4 H 2.01
Li  0.0000  0.0000  0.5000  4 H 2.01
Pd  0.5000  0.0000  0.7854  1 H 1.68
Pd  0.0000  0.5000  0.2146  1 H 1.68
H  0.0000  0.5000  0.4516  1 Pd 1.68
H  0.5000  0.0000  0.5484  1 Pd 1.68

***

# 12
A relaxed Li2HgHPd crystal. Source: Alexandria via LeMat-Bulk, functional GGA-PBE.

Calculated values
M_tot	0.000	μB/atom
VASP energy	-0.2162	Ry/atom
energy above the most stable polymorph in this dataset	0.00	eV per formula unit

a = 4.1898 Å, b = 4.1898 Å, c = 3.7164 Å
α = 90.00°, β = 90.00°, γ = 90.00°
Closest atoms and distances in Å follow each position.
Fractional coordinates of all 5 atoms:
Pd  0.0000  0.0000  0.5000  2 H 1.86
H  0.0000  0.0000  0.0000  2 Pd 1.86
Li  0.5000  0.0000  0.0000  2 H 2.09
Li  0.0000  0.5000  0.0000  2 H 2.09
Hg  0.5000  0.5000  0.5000  8 Li 2.80, 4 Pd 2.96

***

# 13
A relaxed LiHgHPt2 crystal. Source: Alexandria via LeMat-Bulk, functional GGA-PBE.

Calculated values
M_tot	0.000	μB/atom
VASP energy	-0.2690	Ry/atom
energy above the most stable polymorph in this dataset	0.97	eV per formula unit

a = 3.9676 Å, b = 3.9676 Å, c = 4.3977 Å
α = 90.00°, β = 90.00°, γ = 90.00°
Closest atoms and distances in Å follow each position.
Fractional coordinates of all 5 atoms:
Hg  0.0000  0.0000  0.5000  2 H 2.20
Pt  0.5000  0.0000  0.0000  2 H 1.98
Pt  0.0000  0.5000  0.0000  2 H 1.98
Li  0.5000  0.5000  0.5000  4 Hg 2.81, 8 Pt 2.96
H  0.0000  0.0000  0.0000  4 Pt 1.98, 2 Hg 2.20

***

# 14
A relaxed LiHgHPt2 crystal. Source: Alexandria via LeMat-Bulk, functional GGA-PBE.

Calculated values
M_tot	0.000	μB/atom
VASP energy	-0.2833	Ry/atom
energy above the most stable polymorph in this dataset	0.00	eV per formula unit

a = 4.0095 Å, b = 4.0095 Å, c = 4.1531 Å
α = 90.00°, β = 90.00°, γ = 90.00°
Closest atoms and distances in Å follow each position.
Fractional coordinates of all 5 atoms:
Pt  0.0000  0.5000  0.0000  2 H 2.00
Pt  0.5000  0.0000  0.0000  2 H 2.00
H  0.0000  0.0000  0.0000  4 Pt 2.00, 2 Li 2.08
Li  0.0000  0.0000  0.5000  2 H 2.08
Hg  0.5000  0.5000  0.5000  4 Li 2.84, 8 Pt 2.89

***

# 15
A relaxed Rb2LiHgH crystal. Source: Alexandria via LeMat-Bulk, functional GGA-PBE.

Calculated values
M_tot	0.169	μB/atom
VASP energy	-0.1132	Ry/atom

a = 6.4266 Å, b = 4.0276 Å, c = 6.4266 Å
α = 90.00°, β = 90.00°, γ = 90.00°
Closest atoms and distances in Å follow each position.
Fractional coordinates of all 5 atoms:
H  0.0000  0.0000  0.0000  2 Li 2.01
Rb  0.0000  0.0000  0.5000  2 H 3.21
Rb  0.5000  0.0000  0.0000  2 H 3.21
Li  0.0000  0.5000  0.0000  2 H 2.01
Hg  0.5000  0.5000  0.5000  8 Rb 3.79, 2 Hg 4.03

***

# 16
A relaxed Li2ReHgH crystal. Source: Alexandria via LeMat-Bulk, functional GGA-PBE.

Calculated values
M_tot	0.325	μB/atom
VASP energy	-0.2372	Ry/atom

a = 5.1234 Å, b = 3.2397 Å, c = 5.1234 Å
α = 90.00°, β = 90.00°, γ = 90.00°
Closest atoms and distances in Å follow each position.
Fractional coordinates of all 5 atoms:
Li  0.0000  0.0000  0.5000  2 Re 2.56
Li  0.5000  0.0000  0.0000  2 Re 2.56
Hg  0.5000  0.5000  0.5000  8 Li 3.03, 2 Hg 3.24
H  0.0000  0.5000  0.0000  2 Re 1.62
Re  0.0000  0.0000  0.0000  2 H 1.62

***

# 17
A relaxed LiHg2HRh crystal. Source: Alexandria via LeMat-Bulk, functional GGA-PBE.

Calculated values
M_tot	0.000	μB/atom
VASP energy	-0.1946	Ry/atom

a = 4.7042 Å, b = 4.7042 Å, c = 3.4182 Å
α = 90.00°, β = 90.00°, γ = 90.00°
Closest atoms and distances in Å follow each position.
Fractional coordinates of all 5 atoms:
H  0.0000  0.0000  0.0000  2 Rh 1.71
Hg  0.0000  0.5000  0.0000  2 H 2.35
Hg  0.5000  0.0000  0.0000  2 H 2.35
Rh  0.0000  0.0000  0.5000  2 H 1.71
Li  0.5000  0.5000  0.5000  8 Hg 2.91

***

# 18
A relaxed Li2HgHRu crystal. Source: Alexandria via LeMat-Bulk, functional GGA-PBE.

Calculated values
M_tot	0.000	μB/atom
VASP energy	-0.2560	Ry/atom

a = 4.0523 Å, b = 4.0523 Å, c = 3.7085 Å
α = 90.00°, β = 90.00°, γ = 90.00°
Closest atoms and distances in Å follow each position.
Fractional coordinates of all 5 atoms:
Ru  0.0000  0.0000  0.5000  2 H 1.85
Li  0.0000  0.5000  0.0000  2 H 2.03
Li  0.5000  0.0000  0.0000  2 H 2.03
Hg  0.5000  0.5000  0.5000  8 Li 2.75, 4 Ru 2.87
H  0.0000  0.0000  0.0000  2 Ru 1.85, 4 Li 2.03

***

# 19
A relaxed Li2HgSbH crystal. Source: Alexandria via LeMat-Bulk, functional GGA-PBE.

Calculated values
M_tot	0.000	μB/atom
VASP energy	-0.1876	Ry/atom
energy above the most stable polymorph in this dataset	0.00	eV per formula unit

a = 4.3327 Å, b = 4.3327 Å, c = 4.4117 Å
α = 90.00°, β = 90.00°, γ = 90.00°
Closest atoms and distances in Å follow each position.
Fractional coordinates of all 5 atoms:
Li  0.5000  0.0000  0.0000  2 H 2.17
Li  0.0000  0.5000  0.0000  2 H 2.17
Sb  0.5000  0.5000  0.5000  4 Hg 3.06, 8 Li 3.09
Hg  0.0000  0.0000  0.5000  2 H 2.21
H  0.0000  0.0000  0.0000  4 Li 2.17, 2 Hg 2.21

***

# 20
A relaxed Li2HgSbH crystal. Source: Alexandria via LeMat-Bulk, functional GGA-PBE.

Calculated values
M_tot	0.000	μB/atom
VASP energy	-0.1820	Ry/atom
energy above the most stable polymorph in this dataset	0.38	eV per formula unit

a = 4.4255 Å, b = 4.4255 Å, c = 4.2760 Å
α = 90.00°, β = 90.00°, γ = 90.00°
Closest atoms and distances in Å follow each position.
Fractional coordinates of all 5 atoms:
Hg  0.5000  0.5000  0.5000  8 Li 3.08, 4 Sb 3.13
Sb  0.0000  0.0000  0.5000  2 H 2.14
Li  0.0000  0.5000  0.0000  2 H 2.21
Li  0.5000  0.0000  0.0000  2 H 2.21
H  0.0000  0.0000  0.0000  2 Sb 2.14, 4 Li 2.21

***

Summary of calculated density in Mg/m³
7.8 9.6 8.2 10.5 11.4 7.9 5.9 10.7 10.2 10.6 9.4 8.2 14.4 14.9 3.8 7.8 11.2 8.6 6.8 6.7
(order as listed above)